Record 1
Entry from Alexandria via LeMat-Bulk: crystalline Li4Mg4Tl3 at its relaxed geometry (PBE).

Unit cell a=3.2091 b=4.7307 c=15.8704 alpha=81.72 beta=88.55 gamma=89.60
Element x y z (fractional)
Li  0.1565  0.1819  0.1366
Li  0.1626  0.5437  0.4142
Li  0.8374  0.4563  0.5858
Li  0.8435  0.8181  0.8634
Mg  0.2401  0.9075  0.6838
Mg  0.2755  0.2744  0.9505
Mg  0.7245  0.7256  0.0495
Mg  0.7599  0.0925  0.3162
Tl  0.3325  0.6352  0.2308
Tl  0.5000  0.0000  0.5000
Tl  0.6675  0.3648  0.7692

Computed properties:
Total DFT energy (no corrections) = -2.038 eV/atom
Space group = P-1
Energy of formation from the pure elements = -117 meV per atom

---

Record 2
Entry from Alexandria via LeMat-Bulk: crystalline LiMg2Tl at its relaxed geometry (PBE).

Unit cell a=4.9974 b=6.3414 c=6.3414 alpha=59.53 beta=90.00 gamma=90.00
Element x y z (fractional)
Li  0.0000  0.2443  0.7557
Li  0.0000  0.7557  0.2443
Mg  0.0000  0.7531  0.7531
Mg  0.5000  0.4125  0.9107
Mg  0.5000  0.4179  0.4179
Mg  0.5000  0.9107  0.4125
Tl  0.0000  0.2526  0.2526
Tl  0.5000  0.9182  0.9182

Computed properties:
Total DFT energy (no corrections) = -1.989 eV/atom
Space group = Amm2
Energy of formation from the pure elements = -122 meV per atom
Polymorph energy (0 for the lowest one) = 8.9 meV/atom

---

Record 3
Entry from Alexandria via LeMat-Bulk: crystalline LiMg8Tl2 at its relaxed geometry (PBE).

Unit cell a=8.5420 b=8.5420 c=7.0834 alpha=105.13 beta=105.13 gamma=30.87
Element x y z (fractional)
Li  0.0000  0.0000  0.0000
Mg  0.0893  0.0893  0.4538
Mg  0.1765  0.1765  0.9155
Mg  0.3616  0.3616  0.8116
Mg  0.4586  0.4586  0.2641
Mg  0.5414  0.5414  0.7359
Mg  0.6384  0.6384  0.1884
Mg  0.8235  0.8235  0.0845
Mg  0.9107  0.9107  0.5462
Tl  0.2783  0.2783  0.3477
Tl  0.7217  0.7217  0.6523

Computed properties:
Total DFT energy (no corrections) = -1.784 eV/atom
Space group = C2/m
Energy of formation from the pure elements = -20 meV per atom
Polymorph energy (0 for the lowest one) = 0.0 meV/atom

---

Record 4
Entry from Alexandria via LeMat-Bulk: crystalline Li2Mg8Tl at its relaxed geometry (PBE).

Unit cell a=4.9093 b=4.9093 c=10.5147 alpha=90.00 beta=90.00 gamma=90.00
Element x y z (fractional)
Li  0.0000  0.0000  0.1757
Li  0.0000  0.0000  0.8243
Mg  0.0000  0.5000  0.0000
Mg  0.0000  0.5000  0.3440
Mg  0.0000  0.5000  0.6560
Mg  0.5000  0.0000  0.0000
Mg  0.5000  0.0000  0.3440
Mg  0.5000  0.0000  0.6560
Mg  0.5000  0.5000  0.1671
Mg  0.5000  0.5000  0.8329
Tl  0.0000  0.0000  0.5000

Computed properties:
Total DFT energy (no corrections) = -1.728 eV/atom
Space group = P4/mmm
Energy of formation from the pure elements = -5 meV per atom
Polymorph energy (0 for the lowest one) = 40.2 meV/atom

---

Record 5
Entry from Alexandria via LeMat-Bulk: crystalline LiMg2Tl at its relaxed geometry (PBE).

Unit cell a=6.3371 b=6.3371 c=4.9708 alpha=90.00 beta=90.00 gamma=120.46
Element x y z (fractional)
Li  0.1683  0.8317  0.7500
Li  0.8317  0.1683  0.2500
Mg  0.1605  0.3305  0.7500
Mg  0.3305  0.1605  0.2500
Mg  0.6695  0.8395  0.7500
Mg  0.8395  0.6695  0.2500
Tl  0.3312  0.6688  0.2500
Tl  0.6688  0.3312  0.7500

Computed properties:
Total DFT energy (no corrections) = -1.998 eV/atom
Space group = Cmcm
Energy of formation from the pure elements = -131 meV per atom
Polymorph energy (0 for the lowest one) = 0.0 meV/atom

---

Record 6
Entry from Alexandria via LeMat-Bulk: crystalline Li3MgTl2 at its relaxed geometry (PBE).

Unit cell a=3.0708 b=4.7949 c=8.3366 alpha=90.00 beta=90.00 gamma=90.00
Element x y z (fractional)
Li  0.0000  0.0000  0.0000
Li  0.0000  0.0000  0.3211
Li  0.0000  0.5000  0.8420
Mg  0.0000  0.5000  0.4981
Tl  0.5000  0.0000  0.6745
Tl  0.5000  0.5000  0.1602

Computed properties:
Total DFT energy (no corrections) = -2.161 eV/atom
Space group = Pmm2
Energy of formation from the pure elements = -149 meV per atom
Polymorph energy (0 for the lowest one) = 31.4 meV/atom

---

Record 7
Entry from Alexandria via LeMat-Bulk: crystalline LiMgTl at its relaxed geometry (PBE).

Unit cell a=5.3270 b=5.2694 c=5.3413 alpha=90.00 beta=119.84 gamma=90.00
Element x y z (fractional)
Li  0.1679  0.2500  0.1397
Li  0.8321  0.7500  0.8603
Mg  0.1671  0.7500  0.5263
Mg  0.8329  0.2500  0.4737
Tl  0.4929  0.7500  0.1977
Tl  0.5071  0.2500  0.8023

Computed properties:
Total DFT energy (no corrections) = -2.108 eV/atom
Space group = P2_1/m
Energy of formation from the pure elements = -150 meV per atom
Polymorph energy (0 for the lowest one) = 31.5 meV/atom

---

Record 8
Entry from Alexandria via LeMat-Bulk: crystalline Li2MgTl2 at its relaxed geometry (PBE).

Unit cell a=7.7336 b=7.7336 c=3.5875 alpha=90.00 beta=90.00 gamma=90.00
Element x y z (fractional)
Li  0.1313  0.3687  0.0000
Li  0.3687  0.8687  0.0000
Li  0.6313  0.1313  0.0000
Li  0.8687  0.6313  0.0000
Mg  0.0000  0.0000  0.0000
Mg  0.5000  0.5000  0.0000
Tl  0.1663  0.6663  0.5000
Tl  0.3337  0.1663  0.5000
Tl  0.6663  0.8337  0.5000
Tl  0.8337  0.3337  0.5000

Computed properties:
Total DFT energy (no corrections) = -2.170 eV/atom
Space group = P4/mbm
Energy of formation from the pure elements = -139 meV per atom
Polymorph energy (0 for the lowest one) = 7.3 meV/atom

---

Record 9
Entry from Alexandria via LeMat-Bulk: crystalline LiMg6Tl at its relaxed geometry (PBE).

Unit cell a=5.1614 b=6.2701 c=6.2701 alpha=63.62 beta=90.00 gamma=90.00
Element x y z (fractional)
Li  0.0000  0.0000  0.0000
Mg  0.0000  0.0010  0.4951
Mg  0.0000  0.4944  0.4944
Mg  0.0000  0.4951  0.0010
Mg  0.5000  0.1718  0.6856
Mg  0.5000  0.1778  0.1778
Mg  0.5000  0.6856  0.1718
Tl  0.5000  0.6764  0.6764

Computed properties:
Total DFT energy (no corrections) = -1.761 eV/atom
Space group = Amm2
Energy of formation from the pure elements = -30 meV per atom
Polymorph energy (0 for the lowest one) = 16.9 meV/atom

---

Record 10
Entry from Alexandria via LeMat-Bulk: crystalline Li8Mg4Tl at its relaxed geometry (PBE).

Unit cell a=3.2456 b=4.9031 c=17.0096 alpha=90.00 beta=90.00 gamma=90.00
Element x y z (fractional)
Li  0.0000  0.0000  0.0000
Li  0.0000  0.0000  0.2574
Li  0.0000  0.5000  0.4312
Li  0.0000  0.5000  0.7520
Li  0.5000  0.0000  0.1324
Li  0.5000  0.0000  0.6991
Li  0.5000  0.5000  0.2686
Li  0.5000  0.5000  0.5886
Mg  0.0000  0.0000  0.5517
Mg  0.0000  0.5000  0.1074
Mg  0.5000  0.0000  0.3974
Mg  0.5000  0.5000  0.9329
Tl  0.0000  0.0000  0.8405

Computed properties:
Total DFT energy (no corrections) = -1.893 eV/atom
Space group = Pmm2
Energy of formation from the pure elements = -42 meV per atom

---

Record 11
Entry from Alexandria via LeMat-Bulk: crystalline Li4Mg2Tl at its relaxed geometry (PBE).

Unit cell a=10.2754 b=10.2754 c=10.2754 alpha=163.09 beta=153.46 gamma=31.64
Element x y z (fractional)
Li  0.0677  0.0677  0.0000
Li  0.3614  0.8614  0.5000
Li  0.6386  0.1386  0.5000
Li  0.9323  0.9323  0.0000
Mg  0.2089  0.7089  0.5000
Mg  0.7911  0.2911  0.5000
Tl  0.5000  0.5000  0.0000

Computed properties:
Total DFT energy (no corrections) = -2.007 eV/atom
Space group = Immm
Energy of formation from the pure elements = -119 meV per atom
Polymorph energy (0 for the lowest one) = 0.0 meV/atom

---

Record 12
Entry from Alexandria via LeMat-Bulk: crystalline Li3Mg2Tl at its relaxed geometry (PBE).

Unit cell a=9.7749 b=9.0185 c=5.6842 alpha=79.84 beta=65.25 gamma=34.92
Element x y z (fractional)
Li  0.1668  0.6704  0.3296
Li  0.1676  0.1676  0.8324
Li  0.3296  0.8332  0.1668
Li  0.6704  0.1668  0.8332
Li  0.8324  0.8324  0.1676
Li  0.8332  0.3296  0.6704
Mg  0.2457  0.7543  0.7543
Mg  0.2500  0.2500  0.2500
Mg  0.7500  0.7500  0.7500
Mg  0.7543  0.2457  0.2457
Tl  0.3391  0.3391  0.6609
Tl  0.6609  0.6609  0.3391

Computed properties:
Total DFT energy (no corrections) = -1.995 eV/atom
Space group = Fmmm
Energy of formation from the pure elements = -112 meV per atom
Polymorph energy (0 for the lowest one) = 19.6 meV/atom

---

Record 13
Entry from Alexandria via LeMat-Bulk: crystalline Li2Mg3Tl3 at its relaxed geometry (PBE).

Unit cell a=4.6012 b=4.6771 c=8.4700 alpha=90.00 beta=90.00 gamma=90.00
Element x y z (fractional)
Li  0.0000  0.0000  0.2450
Li  0.0000  0.0000  0.7550
Mg  0.5000  0.0000  0.5000
Mg  0.5000  0.5000  0.2491
Mg  0.5000  0.5000  0.7509
Tl  0.0000  0.5000  0.0000
Tl  0.0000  0.5000  0.5000
Tl  0.5000  0.0000  0.0000

Computed properties:
Total DFT energy (no corrections) = -2.070 eV/atom
Space group = Pmmm
Energy of formation from the pure elements = -107 meV per atom

---

Record 14
Entry from Alexandria via LeMat-Bulk: crystalline Li2Mg5Tl at its relaxed geometry (PBE).

Unit cell a=6.4017 b=12.8005 c=4.2915 alpha=90.00 beta=90.00 gamma=90.00
Element x y z (fractional)
Li  0.2461  0.1232  0.0000
Li  0.2539  0.6232  0.0000
Li  0.7461  0.3768  0.0000
Li  0.7539  0.8768  0.0000
Mg  0.0000  0.0000  0.5000
Mg  0.0075  0.7471  0.5000
Mg  0.2467  0.3772  0.0000
Mg  0.2533  0.8772  0.0000
Mg  0.4925  0.2471  0.5000
Mg  0.5000  0.5000  0.5000
Mg  0.5075  0.7529  0.5000
Mg  0.7467  0.1228  0.0000
Mg  0.7533  0.6228  0.0000
Mg  0.9925  0.2529  0.5000
Tl  0.0000  0.5000  0.5000
Tl  0.5000  0.0000  0.5000

Computed properties:
Total DFT energy (no corrections) = -1.833 eV/atom
Space group = Pbam
Energy of formation from the pure elements = -62 meV per atom
Polymorph energy (0 for the lowest one) = 0.0 meV/atom

---

Record 15
Entry from Alexandria via LeMat-Bulk: crystalline LiMg5Tl6 at its relaxed geometry (PBE).

Unit cell a=7.0789 b=7.0789 c=6.0757 alpha=97.68 beta=97.68 gamma=93.52
Element x y z (fractional)
Li  0.0000  0.0000  0.0000
Mg  0.1714  0.8286  0.5000
Mg  0.3359  0.6641  0.0000
Mg  0.5000  0.5000  0.5000
Mg  0.6641  0.3359  0.0000
Mg  0.8286  0.1714  0.5000
Tl  0.0815  0.4097  0.2457
Tl  0.2435  0.2435  0.7520
Tl  0.4097  0.0815  0.2457
Tl  0.5903  0.9185  0.7543
Tl  0.7565  0.7565  0.2480
Tl  0.9185  0.5903  0.7543

Computed properties:
Total DFT energy (no corrections) = -2.066 eV/atom
Space group = C2/m
Energy of formation from the pure elements = -59 meV per atom
Polymorph energy (0 for the lowest one) = 17.7 meV/atom

---

Record 16
Entry from Alexandria via LeMat-Bulk: crystalline Li3Mg4Tl at its relaxed geometry (PBE).

Unit cell a=12.5899 b=12.5899 c=4.5513 alpha=98.66 beta=98.66 gamma=14.63
Element x y z (fractional)
Li  0.0000  0.0000  0.0000
Li  0.1534  0.1534  0.6613
Li  0.8466  0.8466  0.3387
Mg  0.2811  0.2811  0.7782
Mg  0.4041  0.4041  0.8936
Mg  0.5959  0.5959  0.1064
Mg  0.7189  0.7189  0.2218
Tl  0.5000  0.5000  0.5000

Computed properties:
Total DFT energy (no corrections) = -1.808 eV/atom
Space group = C2/m
Energy of formation from the pure elements = 3 meV per atom

---

Record 17
Entry from Alexandria via LeMat-Bulk: crystalline LiMg4Tl at its relaxed geometry (PBE).

Unit cell a=3.6281 b=3.6281 c=10.2777 alpha=90.00 beta=90.00 gamma=90.00
Element x y z (fractional)
Li  0.0000  0.0000  0.0000
Mg  0.0000  0.0000  0.3282
Mg  0.0000  0.0000  0.6718
Mg  0.5000  0.5000  0.1535
Mg  0.5000  0.5000  0.8465
Tl  0.5000  0.5000  0.5000

Computed properties:
Total DFT energy (no corrections) = -1.810 eV/atom
Space group = P4/mmm
Energy of formation from the pure elements = -34 meV per atom
Polymorph energy (0 for the lowest one) = 0.0 meV/atom

---

Record 18
Entry from Alexandria via LeMat-Bulk: crystalline LiMg2Tl at its relaxed geometry (PBE).

Unit cell a=5.3702 b=5.3702 c=5.3702 alpha=130.30 beta=130.30 gamma=72.93
Element x y z (fractional)
Li  0.0000  0.0000  0.0000
Mg  0.2500  0.7500  0.5000
Mg  0.7500  0.2500  0.5000
Tl  0.5000  0.5000  0.0000

Computed properties:
Total DFT energy (no corrections) = -1.968 eV/atom
Space group = I4/mmm
Energy of formation from the pure elements = -101 meV per atom
Polymorph energy (0 for the lowest one) = 29.8 meV/atom

---

Record 19
Entry from Alexandria via LeMat-Bulk: crystalline LiMgTl2 at its relaxed geometry (PBE).

Unit cell a=9.6535 b=9.6535 c=9.6535 alpha=20.44 beta=20.44 gamma=20.44
Element x y z (fractional)
Li  0.0000  0.0000  0.0000
Mg  0.5000  0.5000  0.5000
Tl  0.2535  0.2535  0.2535
Tl  0.7465  0.7465  0.7465

Computed properties:
Total DFT energy (no corrections) = -2.175 eV/atom
Space group = R-3m
Energy of formation from the pure elements = -115 meV per atom

---

Record 20
Entry from Alexandria via LeMat-Bulk: crystalline Li3MgTl at its relaxed geometry (PBE).

Unit cell a=5.0877 b=5.0877 c=5.0877 alpha=90.00 beta=90.00 gamma=90.00
Element x y z (fractional)
Li  0.0000  0.0000  0.5000
Li  0.0000  0.5000  0.0000
Li  0.5000  0.0000  0.0000
Mg  0.5000  0.5000  0.5000
Tl  0.0000  0.0000  0.0000

Computed properties:
Total DFT energy (no corrections) = -1.716 eV/atom
Space group = Pm-3m
Energy of formation from the pure elements = 224 meV per atom
Polymorph energy (0 for the lowest one) = 321.0 meV/atom

---

Record 21
Entry from Alexandria via LeMat-Bulk: crystalline LiMgTl2 at its relaxed geometry (PBE).

Unit cell a=5.7443 b=5.7443 c=4.9862 alpha=103.48 beta=103.48 gamma=36.75
Element x y z (fractional)
Li  0.0000  0.0000  0.0000
Mg  0.7530  0.7530  0.3365
Tl  0.2597  0.2597  0.8460
Tl  0.4990  0.4990  0.4973

Computed properties:
Total DFT energy (no corrections) = -2.168 eV/atom
Space group = Cm
Energy of formation from the pure elements = -107 meV per atom

---

Record 22
Entry from Alexandria via LeMat-Bulk: crystalline LiMgTl at its relaxed geometry (PBE).

Unit cell a=4.8518 b=3.7294 c=7.6334 alpha=90.00 beta=108.23 gamma=90.00
Element x y z (fractional)
Li  0.1693  0.0000  0.3392
Li  0.8307  0.0000  0.6608
Mg  0.0000  0.5000  0.0000
Mg  0.5000  0.0000  0.0000
Tl  0.3356  0.5000  0.6681
Tl  0.6644  0.5000  0.3319

Computed properties:
Total DFT energy (no corrections) = -2.105 eV/atom
Space group = P2/m
Energy of formation from the pure elements = -147 meV per atom
Polymorph energy (0 for the lowest one) = 34.7 meV/atom

---

Record 23
Entry from Alexandria via LeMat-Bulk: crystalline Li2Mg2Tl5 at its relaxed geometry (PBE).

Unit cell a=8.1757 b=8.1757 c=6.1149 alpha=106.99 beta=106.99 gamma=34.64
Element x y z (fractional)
Li  0.1091  0.1091  0.4327
Li  0.8909  0.8909  0.5673
Mg  0.2939  0.2939  0.1975
Mg  0.7061  0.7061  0.8025
Tl  0.0830  0.0830  0.9009
Tl  0.3168  0.3168  0.7165
Tl  0.5000  0.5000  0.5000
Tl  0.6832  0.6832  0.2835
Tl  0.9170  0.9170  0.0991

Computed properties:
Total DFT energy (no corrections) = -2.185 eV/atom
Space group = C2/m
Energy of formation from the pure elements = -90 meV per atom
Polymorph energy (0 for the lowest one) = 0.0 meV/atom